Entry 1:
Compound: Ca3MnNi
Source: the Alexandria database
Functional: PBE
Structure: optimized geometry

Computed properties:
ΔH_f (0 K) in meV/atom: 794
Energy above the most stable polymorph in this dataset in kJ/mol of formula units: 0
Total DFT energy (no corrections) in eV/atom: -3.40
Density of states at the Fermi level in states/eV per atom: 2.00

Cell: 5.2934 5.2934 5.2934 Å, 90.00 90.00 90.00°
Space group Pm-3m (No. 221)
Asymmetric unit:
Ca 0.0000 0.0000 0.5000 [3 per cell]
Mn 0.5000 0.5000 0.5000 [1 per cell]
Ni 0.0000 0.0000 0.0000 [1 per cell]

Entry 2:
Compound: Ca3MnNi
Source: the Alexandria database
Functional: PBE
Structure: optimized geometry

Computed properties:
ΔH_f (0 K) in meV/atom: 850
Energy above the most stable polymorph in this dataset in kJ/mol of formula units: 27
Total DFT energy (no corrections) in eV/atom: -3.34
Density of states at the Fermi level in states/eV per atom: 2.27

Cell: 5.3720 5.3720 5.3720 Å, 90.00 90.00 90.00°
Space group Pm-3m (No. 221)
Asymmetric unit:
Ca 0.0000 0.0000 0.5000 [3 per cell]
Mn 0.0000 0.0000 0.0000 [1 per cell]
Ni 0.5000 0.5000 0.5000 [1 per cell]